VASP calculation (PBE-GGA) on Np2Tl3O7 after structural relaxation. Values from VASP.

Quantum ESPRESSO input file:
```
&SYSTEM
  ibrav = 0, nat = 12, ntyp = 3
/
ATOMIC_SPECIES
Np 237.00 Np.upf
Tl 204.38 Tl.upf
O 16.00 O.upf
CELL_PARAMETERS angstrom
-2.164 2.164 11.451
2.164 -2.164 11.451
2.164 2.164 -11.451
ATOMIC_POSITIONS angstrom
Np 0.000 0.000 2.153
Np 0.000 0.000 20.749
Tl 0.000 0.000 7.078
Tl 0.000 0.000 11.451
Tl 0.000 0.000 15.824
O 0.000 0.000 0.000
O 2.164 0.000 2.151
O 0.000 0.000 4.102
O 2.164 0.000 9.299
O 0.000 2.164 2.151
O 0.000 0.000 18.799
O 0.000 2.164 9.299
```

Computed properties:
The energy comes out at -7.72 eV/atom.